VASP calculation (PBE) on an optimized crystal structure of Ba2Li5Bi3.

Cell lengths 14.8260, 14.8260, 8.0635 Å; angles 90.00, 90.00, 160.65 degrees
Sites, in units of the cell vectors:
Ba: 0.0203 0.9797 0.5000
Ba: 0.3265 0.6735 0.5014
Ba: 0.6735 0.3265 0.0014
Ba: 0.9797 0.0203 0.0000
Li: 0.0897 0.9103 0.1144
Li: 0.2037 0.7963 0.6355
Li: 0.2303 0.7697 0.2630
Li: 0.3715 0.6285 0.0240
Li: 0.4410 0.5590 0.3454
Li: 0.5590 0.4410 0.8454
Li: 0.6285 0.3715 0.5240
Li: 0.7697 0.2303 0.7630
Li: 0.7963 0.2037 0.1355
Li: 0.9103 0.0897 0.6144
Bi: 0.1107 0.8893 0.7698
Bi: 0.2708 0.7292 0.9375
Bi: 0.4456 0.5544 0.7224
Bi: 0.5544 0.4456 0.2224
Bi: 0.7292 0.2708 0.4375
Bi: 0.8893 0.1107 0.2698

Calculated volume   587 Å³ per cell
SG   Cmc2_1, No. 36
Total energy   -3.1617 eV/atom
Total magnetic moment   0.00 μB/cell
Crystal system   orthorhombic

=====

VASP calculation (PBE) on an optimized crystal structure of Pd2PtSe6.

Cell lengths 6.5155, 6.5155, 10.5576 Å; angles 113.83, 113.83, 33.42 degrees
Sites, in units of the cell vectors:
Pd: 0.1666 0.1666 0.3333
Pd: 0.8334 0.8334 0.6667
Pt: 0.5000 0.5000 0.0000
Se: 0.1498 0.1498 0.0852
Se: 0.1836 0.1836 0.5806
Se: 0.4837 0.4837 0.7531
Se: 0.5163 0.5163 0.2469
Se: 0.8164 0.8164 0.4194
Se: 0.8502 0.8502 0.9148

Calculated volume   224 Å³ per cell
SG   C2/m, No. 12
ΔE_f (raw)   -0.296 eV per atom
Total energy   -4.4446 eV/atom
Total magnetic moment   0.00 μB/cell
Crystal system   monoclinic

=====

Which value of total magnetic moment does entry 1 give? 0.00 μB/cell

=====

Which formula does entry 2 have? Pd2PtSe6

=====

The lowest total energy belongs to which entry? Pd2PtSe6

=====

What is the calculated volume in the first record? 587 Å³ per cell